Material: NiPb3F7
Method: DFT, PBE+U
State: optimized geometry

Output
raw total energy = -4.537 eV/atom

Cell lengths 7.2164, 7.2164, 8.2685 Å; angles 90.00, 90.00, 120.03 degrees
Positions (direct):
Ni 0.0000 0.0000 0.0000
Ni 0.0000 0.0000 0.5000
Pb 0.9999 0.4994 0.2500
Pb 0.0001 0.5006 0.7500
Pb 0.4994 0.9999 0.7500
Pb 0.5000 0.5000 0.0000
Pb 0.5000 0.5000 0.5000
Pb 0.5006 0.0001 0.2500
F 0.0007 0.9993 0.7500
F 0.0835 0.3233 0.9997
F 0.0835 0.3233 0.5003
F 0.3233 0.0835 0.0003
F 0.3233 0.0835 0.4997
F 0.3904 0.6096 0.2500
F 0.3903 0.6097 0.7500
F 0.6097 0.3903 0.2500
F 0.6096 0.3904 0.7500
F 0.6767 0.9165 0.9997
F 0.6767 0.9165 0.5003
F 0.9165 0.6767 0.0003
F 0.9165 0.6767 0.4997
F 0.9993 0.0007 0.2500